Below is a relaxed Ba2NbCl2 crystal, with properties calculated at the GGA-PBE level.

Calculated values
Size of the total moment = 9.601 Bohr magnetons per cell
Fermi-level density of states = 5.47 states/eV/cell
ρ = 4.6 g/cm3
E above lowest polymorph = 40 meV per atom
Uncorrected formation energy = -0.63 eV/atom

abc: 9.093 9.093 3.861
angles: 90.00 90.00 90.00
Positions (direct):
Ba: 0.178 0.322 0.000
Ba: 0.322 0.822 0.000
Ba: 0.678 0.178 0.000
Ba: 0.822 0.678 0.000
Nb: 0.000 0.000 0.500
Nb: 0.500 0.500 0.500
Cl: 0.124 0.624 0.500
Cl: 0.376 0.124 0.500
Cl: 0.624 0.876 0.500
Cl: 0.876 0.376 0.500